(1)
Compound: TeAs2Se
Source: Alexandria
Functional: PBE
Structure: relaxed

extended XYZ file:
```
4
Lattice="-1.5521 2.4856 8.0820 -2.3359 -0.9727 8.2160 3.7340 -0.7925 1.3855" Properties=species:S:1:pos:R:3 pbc="T T T"
As -3.3012 1.3557 15.6749
As -0.5798 0.3320 5.1744
Te 0.0968 0.4861 13.1061
Se -0.3348 0.4196 8.8680
```

Summary:
The value obtained for the electronic total energy is -3.850 eV per atom. For the energy above the most stable polymorph in this dataset, the calculation gives 60 meV/atom.

(2)
Compound: TeAs2Se
Source: Alexandria
Functional: PBE
Structure: relaxed

extended XYZ file:
```
4
Lattice="5.5015 -1.5508 0.5819 1.0024 5.6274 -0.5819 -2.1612 -3.7785 3.7500" Properties=species:S:1:pos:R:3 pbc="T T T"
As 0.0832 0.0521 0.0000
As 3.1688 1.9861 0.0000
Te 3.2962 -1.6456 2.1660
Se 1.0466 1.9435 1.5840
```

Summary:
The value obtained for the electronic total energy is -3.612 eV per atom. For the energy above the most stable polymorph in this dataset, the calculation gives 298 meV/atom.

(3)
Compound: TeAs2Se
Source: Alexandria
Functional: PBE
Structure: relaxed

extended XYZ file:
```
4
Lattice="4.9328 0.0000 0.0000 0.0000 4.9328 0.0000 0.0000 0.0000 3.5768" Properties=species:S:1:pos:R:3 pbc="T T T"
As 0.0000 0.0000 0.0000
As 2.4664 2.4664 0.0000
Te 0.0000 2.4664 1.7884
Se 2.4664 0.0000 1.7884
```

Summary:
The value obtained for the electronic total energy is -3.547 eV per atom. For the energy above the most stable polymorph in this dataset, the calculation gives 362 meV/atom.

(4)
Compound: TeAsSe
Source: Alexandria
Functional: PBE
Structure: relaxed

extended XYZ file:
```
3
Lattice="4.8463 0.0000 0.0000 2.4231 4.1970 0.0000 2.4231 1.3990 3.9570" Properties=species:S:1:pos:R:3 pbc="T T T"
As 7.2694 4.1970 2.9677
Te 4.8463 2.7980 1.9785
Se 0.0000 0.0000 0.0000
```

Summary:
The value obtained for the electronic total energy is -3.425 eV per atom. For the energy above the most stable polymorph in this dataset, the calculation gives 382 meV/atom.

(5)
Compound: TeAsSe
Source: Alexandria
Functional: PBE
Structure: relaxed

extended XYZ file:
```
3
Lattice="4.8865 0.0000 0.0000 2.4433 4.2319 0.0000 2.4433 1.4106 3.9898" Properties=species:S:1:pos:R:3 pbc="T T T"
As 0.0000 0.0000 0.0000
Te 7.3298 4.2319 2.9924
Se 4.8865 2.8212 1.9949
```

Summary:
The value obtained for the electronic total energy is -3.280 eV per atom. For the energy above the most stable polymorph in this dataset, the calculation gives 528 meV/atom.

(6)
Compound: Te2AsSe
Source: Alexandria
Functional: PBE
Structure: relaxed

extended XYZ file:
```
4
Lattice="6.2588 8.0934 7.3381 8.4876 5.8894 7.1970 8.2962 8.0730 4.9520" Properties=species:S:1:pos:R:3 pbc="T T T"
As 0.0000 0.0000 0.0000
Te 21.2449 20.3351 17.9668
Te 1.7976 1.7207 1.5203
Se 11.5213 11.0279 9.7435
```

Summary:
The value obtained for the electronic total energy is -3.165 eV per atom. For the energy above the most stable polymorph in this dataset, the calculation gives 386 meV/atom.

E_form (uncorrected): 0.132; 0.369; 0.434; 0.333; 0.479; 0.439 (eV per atom)